Entry 1:
A plane-wave DFT calculation with GGA-PBE was carried out for crystalline NaAc2SnTe4 at its relaxed geometry.

abc: 8.079 4.724 8.088
angles: 90.00 109.66 90.00
Atoms (fractional coordinates):
Na1 0.000 0.000 0.000
Ac1 0.500 0.000 0.500
Ac2 0.500 0.500 0.000
Sn1 0.000 0.500 0.500
Te1 0.238 0.000 0.745
Te2 0.242 0.500 0.250
Te3 0.758 0.500 0.750
Te4 0.762 0.000 0.255

formation energy without anion corrections	-1.09	eV per atom
size of the total moment	0.0	μB per formula unit

---

Entry 2:
A plane-wave DFT calculation with GGA-PBE was carried out for crystalline NdTm4Pb at its relaxed geometry.

abc: 8.406 8.406 8.406
angles: 103.27 103.27 122.75
Atoms (fractional coordinates):
Nd1 0.000 0.000 0.000
Nd2 0.750 0.250 0.500
Tm1 0.382 0.136 0.246
Tm2 0.426 0.122 0.696
Tm3 0.426 0.730 0.304
Tm4 0.480 0.676 0.804
Tm5 0.872 0.676 0.196
Tm6 0.886 0.140 0.254
Tm7 0.886 0.632 0.746
Tm8 0.890 0.136 0.754
Pb1 0.140 0.640 0.500
Pb2 0.390 0.390 0.000

ΔH_f (0 K)	0.54	eV per atom
size of the total moment	0.0	μB per formula unit

---

Entry 3:
A plane-wave DFT calculation with GGA-PBE was carried out for crystalline MgCr2In at its relaxed geometry.

abc: 2.725 2.725 8.780
angles: 90.00 90.00 101.69
Atoms (fractional coordinates):
Mg1 0.000 0.000 0.000
Cr1 0.500 0.500 0.251
Cr2 0.500 0.500 0.749
In1 0.000 0.000 0.500

ΔH_f (0 K)	0.68	eV per atom
size of the total moment	0.9	μB per formula unit

---

Entry 4:
A plane-wave DFT calculation with GGA-PBE was carried out for crystalline TbHoZn4 at its relaxed geometry.

abc: 5.457 5.457 5.457
angles: 60.00 60.00 60.00
Atoms (fractional coordinates):
Tb1 0.000 0.000 0.000
Ho1 0.250 0.250 0.250
Zn1 0.125 0.625 0.625
Zn2 0.625 0.125 0.625
Zn3 0.625 0.625 0.125
Zn4 0.625 0.625 0.625

ΔH_f (0 K)	-0.34	eV per atom
size of the total moment	0.0	μB per formula unit
energy above the lowest structure with this stoichiometry	40	meV per atom

---

Entry 5:
A plane-wave DFT calculation with GGA-PBE was carried out for crystalline NaHgI4 at its relaxed geometry.

abc: 11.537 11.537 6.445
angles: 105.77 105.77 128.26
Atoms (fractional coordinates):
Na1 0.099 0.901 0.750
Na2 0.901 0.099 0.250
Hg1 0.371 0.629 0.250
Hg2 0.629 0.371 0.750
I1 0.096 0.470 0.315
I2 0.246 0.273 0.864
I3 0.273 0.246 0.364
I4 0.470 0.096 0.815
I5 0.530 0.904 0.185
I6 0.727 0.754 0.636
I7 0.754 0.727 0.136
I8 0.904 0.530 0.685

formation energy without anion corrections	-0.46	eV per atom
size of the total moment	0.0	μB per formula unit

---

Entry 6:
A plane-wave DFT calculation with GGA-PBE was carried out for crystalline Cs2RbIn at its relaxed geometry.

abc: 7.084 7.084 7.084
angles: 60.00 60.00 60.00
Atoms (fractional coordinates):
Cs1 0.250 0.250 0.250
Cs2 0.750 0.750 0.750
Rb1 0.000 0.000 0.000
In1 0.500 0.500 0.500

ΔH_f (0 K)	0.10	eV per atom
size of the total moment	2.0	μB per formula unit
energy above the lowest structure with this stoichiometry	28	meV per atom

---

Entry 7:
A plane-wave DFT calculation with GGA-PBE was carried out for crystalline Li2BeRu at its relaxed geometry.

abc: 4.010 4.010 4.010
angles: 120.15 120.15 89.75
Atoms (fractional coordinates):
Li1 0.000 0.000 0.000
Li2 0.750 0.250 0.500
Be1 0.500 0.500 0.000
Ru1 0.250 0.750 0.500

ΔH_f (0 K)	0.15	eV per atom
size of the total moment	0.0	μB per formula unit

---

Entry 8:
A plane-wave DFT calculation with GGA-PBE was carried out for crystalline ZnCd2Hg2 at its relaxed geometry.

abc: 7.280 7.280 4.490
angles: 90.00 90.00 90.00
Atoms (fractional coordinates):
Zn1 0.000 0.000 0.000
Zn2 0.500 0.500 0.000
Cd1 0.153 0.347 0.500
Cd2 0.347 0.847 0.500
Cd3 0.653 0.153 0.500
Cd4 0.847 0.653 0.500
Hg1 0.155 0.655 0.000
Hg2 0.345 0.155 0.000
Hg3 0.655 0.845 0.000
Hg4 0.845 0.345 0.000

ΔH_f (0 K)	0.11	eV per atom
size of the total moment	0.0	μB per formula unit
energy above the lowest structure with this stoichiometry	60	meV per atom